Record 1
{"formula": "VNiPdRh", "functional": "GGA-PBE", "state": "relaxed", "energy_ev_per_cell": -112.0, "spacegroup": "F-43m, No. 216", "e_form_ev_per_atom": -0.139, "n_ef_per_ev_cell": 10.89, "cell": [[5.9971, 0.0000, 0.0000], [0.0000, 5.9971, 0.0000], [0.0000, 0.0000, 5.9971]], "species": ["V", "V", "V", "V", "Ni", "Ni", "Ni", "Ni", "Pd", "Pd", "Pd", "Pd", "Rh", "Rh", "Rh", "Rh"], "frac_coords": [[0.0000, 0.0000, 0.0000], [0.0000, 0.5000, 0.5000], [0.5000, 0.0000, 0.5000], [0.5000, 0.5000, 0.0000], [0.0000, 0.0000, 0.5000], [0.0000, 0.5000, 0.0000], [0.5000, 0.0000, 0.0000], [0.5000, 0.5000, 0.5000], [0.2500, 0.2500, 0.7500], [0.2500, 0.7500, 0.2500], [0.7500, 0.2500, 0.2500], [0.7500, 0.7500, 0.7500], [0.2500, 0.2500, 0.2500], [0.2500, 0.7500, 0.7500], [0.7500, 0.2500, 0.7500], [0.7500, 0.7500, 0.2500]]}

Record 2
{"formula": "NiPdRhW", "functional": "GGA-PBE", "state": "relaxed", "energy_ev_per_cell": -123.6, "spacegroup": "F-43m, No. 216", "e_form_ev_per_atom": 0.093, "n_ef_per_ev_cell": 19.38, "cell": [[6.1049, 0.0000, 0.0000], [0.0000, 6.1049, 0.0000], [0.0000, 0.0000, 6.1049]], "species": ["Ni", "Ni", "Ni", "Ni", "Pd", "Pd", "Pd", "Pd", "Rh", "Rh", "Rh", "Rh", "W", "W", "W", "W"], "frac_coords": [[0.0000, 0.0000, 0.0000], [0.0000, 0.5000, 0.5000], [0.5000, 0.0000, 0.5000], [0.5000, 0.5000, 0.0000], [0.2500, 0.2500, 0.2500], [0.2500, 0.7500, 0.7500], [0.7500, 0.2500, 0.7500], [0.7500, 0.7500, 0.2500], [0.0000, 0.0000, 0.5000], [0.0000, 0.5000, 0.0000], [0.5000, 0.0000, 0.0000], [0.5000, 0.5000, 0.5000], [0.2500, 0.2500, 0.7500], [0.2500, 0.7500, 0.2500], [0.7500, 0.2500, 0.2500], [0.7500, 0.7500, 0.7500]]}

Record 3
{"formula": "ZnNiPdRh", "functional": "GGA-PBE", "state": "relaxed", "energy_ev_per_cell": -81.1, "spacegroup": "F-43m, No. 216", "e_form_ev_per_atom": -0.167, "n_ef_per_ev_cell": 20.54, "cell": [[6.0265, 0.0000, 0.0000], [0.0000, 6.0265, 0.0000], [0.0000, 0.0000, 6.0265]], "species": ["Zn", "Zn", "Zn", "Zn", "Ni", "Ni", "Ni", "Ni", "Pd", "Pd", "Pd", "Pd", "Rh", "Rh", "Rh", "Rh"], "frac_coords": [[0.0000, 0.0000, 0.0000], [0.0000, 0.5000, 0.5000], [0.5000, 0.0000, 0.5000], [0.5000, 0.5000, 0.0000], [0.0000, 0.0000, 0.5000], [0.0000, 0.5000, 0.0000], [0.5000, 0.0000, 0.0000], [0.5000, 0.5000, 0.5000], [0.2500, 0.2500, 0.2500], [0.2500, 0.7500, 0.7500], [0.7500, 0.2500, 0.7500], [0.7500, 0.7500, 0.2500], [0.2500, 0.2500, 0.7500], [0.2500, 0.7500, 0.2500], [0.7500, 0.2500, 0.2500], [0.7500, 0.7500, 0.7500]]}

Record 4
{"formula": "Ni2PdRu2", "functional": "GGA-PBE", "state": "relaxed", "energy_ev_per_cell": -67.7, "spacegroup": "P4/mbm, No. 127", "e_form_ev_per_atom": 0.296, "n_ef_per_ev_cell": 17.13, "cell": [[7.0287, 0.0000, 0.0000], [0.0000, 7.0287, 0.0000], [0.0000, 0.0000, 2.7051]], "species": ["Ni", "Ni", "Ni", "Ni", "Pd", "Pd", "Ru", "Ru", "Ru", "Ru"], "frac_coords": [[0.1201, 0.3799, 0.0000], [0.3799, 0.8799, 0.0000], [0.6201, 0.1201, 0.0000], [0.8799, 0.6201, 0.0000], [0.0000, 0.0000, 0.0000], [0.5000, 0.5000, 0.0000], [0.1747, 0.6747, 0.5000], [0.3253, 0.1747, 0.5000], [0.6747, 0.8253, 0.5000], [0.8253, 0.3253, 0.5000]]}

Record 5
{"formula": "NiPd3Ru", "functional": "GGA-PBE", "state": "relaxed", "energy_ev_per_cell": -23.0, "spacegroup": "Pm-3m, No. 221", "e_form_ev_per_atom": 1.534, "n_ef_per_ev_cell": 12.51, "cell": [[4.7335, 0.0000, 0.0000], [0.0000, 4.7335, 0.0000], [0.0000, 0.0000, 4.7335]], "species": ["Ni", "Pd", "Pd", "Pd", "Ru"], "frac_coords": [[0.0000, 0.0000, 0.0000], [0.0000, 0.5000, 0.5000], [0.5000, 0.0000, 0.5000], [0.5000, 0.5000, 0.0000], [0.5000, 0.5000, 0.5000]]}

Record 6
{"formula": "Ni3PdRu", "functional": "GGA-PBE", "state": "relaxed", "energy_ev_per_cell": -25.3, "spacegroup": "Pm-3m, No. 221", "e_form_ev_per_atom": 1.311, "n_ef_per_ev_cell": 7.37, "cell": [[4.4075, 0.0000, 0.0000], [0.0000, 4.4075, 0.0000], [0.0000, 0.0000, 4.4075]], "species": ["Ni", "Ni", "Ni", "Pd", "Ru"], "frac_coords": [[0.0000, 0.0000, 0.5000], [0.0000, 0.5000, 0.0000], [0.5000, 0.0000, 0.0000], [0.5000, 0.5000, 0.5000], [0.0000, 0.0000, 0.0000]]}